[1]
Entry from the Alexandria database: a geometry-optimized Sr2TiSnO6 structure (PBE).

Cell: 5.675 5.675 5.713 Å, 120.12 120.12 60.06°
Atoms (fractional coordinates):
Sr 0.250 0.250 0.245
Sr 0.750 0.750 0.755
Ti 0.500 0.500 0.000
Sn 0.000 0.000 0.500
O 0.225 0.713 0.212
O 0.256 0.256 0.698
O 0.287 0.775 0.788
O 0.713 0.225 0.212
O 0.744 0.744 0.302
O 0.775 0.287 0.788

Properties
The formation energy from raw total energies comes out at -26.7 eV per formula unit.

[2]
Entry from the Alexandria database: a geometry-optimized Sr4TlTc structure (PBE).

Cell: 6.899 6.899 6.899 Å, 60.00 60.00 60.00°
Atoms (fractional coordinates):
Sr 0.124 0.124 0.124
Sr 0.124 0.124 0.627
Sr 0.124 0.627 0.124
Sr 0.627 0.124 0.124
Tl 0.500 0.500 0.500
Tc 0.750 0.750 0.750

Properties
For the formation energy, the calculation gives 95 kJ/mol of atoms.

[3]
Entry from the Alexandria database: a geometry-optimized TcAsW2 structure (PBE).

Cell: 3.771 3.771 8.682 Å, 90.00 90.00 90.00°
Atoms (fractional coordinates):
Tc 0.000 0.000 0.000
Tc 0.500 0.500 0.500
As 0.000 0.500 0.250
As 0.500 0.000 0.750
W 0.000 0.000 0.500
W 0.000 0.500 0.750
W 0.500 0.000 0.250
W 0.500 0.500 0.000

Properties
For the formation energy, the calculation gives 35 kJ/mol of atoms.

[4]
Entry from the Alexandria database: a geometry-optimized SmZnCuPd3 structure (PBE).

Cell: 7.106 7.106 5.771 Å, 90.00 90.00 132.57°
Atoms (fractional coordinates):
Sm 0.177 0.823 0.750
Sm 0.823 0.177 0.250
Zn 0.131 0.869 0.250
Zn 0.869 0.131 0.750
Cu 0.383 0.617 0.750
Cu 0.617 0.383 0.250
Pd 0.246 0.246 0.000
Pd 0.246 0.246 0.500
Pd 0.333 0.667 0.250
Pd 0.667 0.333 0.750
Pd 0.754 0.754 0.000
Pd 0.754 0.754 0.500

Properties
For the formation energy, the calculation gives -38 kJ/mol of atoms.

[5]
Entry from the Alexandria database: a geometry-optimized KFeSi2 structure (PBE).

Cell: 2.871 2.871 8.092 Å, 90.00 90.00 90.00°
Atoms (fractional coordinates):
K 0.000 0.000 0.000
Fe 0.000 0.000 0.500
Si 0.500 0.500 0.332
Si 0.500 0.500 0.668

Properties
The formation energy from raw total energies comes out at 0.2 eV per formula unit. The calculation puts the polymorph energy (0 for the lowest one) at 9 meV/atom.

[6]
Entry from the Alexandria database: a geometry-optimized Gd2PaSb structure (PBE).

Cell: 3.876 3.876 7.321 Å, 90.00 90.00 90.00°
Atoms (fractional coordinates):
Gd 0.000 0.000 0.227
Gd 0.000 0.000 0.773
Pa 0.500 0.500 0.500
Sb 0.500 0.500 0.000

Properties
The formation energy from raw total energies comes out at -1.2 eV per formula unit. The calculation puts the polymorph energy (0 for the lowest one) at 0 meV/atom.

[7]
Entry from the Alexandria database: a geometry-optimized ZrScP structure (PBE).

Cell: 4.070 5.167 11.358 Å, 90.00 90.00 90.00°
Atoms (fractional coordinates):
Zr 0.000 0.000 0.000
Zr 0.000 0.500 0.500
Zr 0.500 0.000 0.500
Zr 0.500 0.500 0.000
Sc 0.000 0.000 0.288
Sc 0.000 0.500 0.788
Sc 0.500 0.000 0.788
Sc 0.500 0.500 0.288
P 0.000 0.000 0.642
P 0.000 0.500 0.142
P 0.500 0.000 0.142
P 0.500 0.500 0.642

Properties
For the formation energy, the calculation gives -69 kJ/mol of atoms.

[8]
Entry from the Alexandria database: a geometry-optimized K2SrTe structure (PBE).

Cell: 5.429 5.429 11.576 Å, 90.00 90.00 90.00°
Atoms (fractional coordinates):
K 0.000 0.000 0.000
K 0.000 0.500 0.250
K 0.500 0.000 0.750
K 0.500 0.500 0.500
Sr 0.000 0.500 0.750
Sr 0.500 0.000 0.250
Te 0.000 0.000 0.500
Te 0.500 0.500 0.000

Properties
The formation energy from raw total energies comes out at -1.6 eV per formula unit.

[9]
Entry from the Alexandria database: a geometry-optimized Ba2Ga2BiS6 structure (PBE).

Cell: 8.370 8.370 8.370 Å, 51.19 51.19 51.19°
Atoms (fractional coordinates):
Ba 0.212 0.212 0.212
Ba 0.788 0.788 0.788
Ga 0.438 0.438 0.438
Ga 0.562 0.562 0.562
Bi 0.000 0.000 0.000
S 0.222 0.751 0.751
S 0.249 0.249 0.778
S 0.249 0.778 0.249
S 0.751 0.222 0.751
S 0.751 0.751 0.222
S 0.778 0.249 0.249

Properties
The formation energy from raw total energies comes out at -10.9 eV per formula unit.

[10]
Entry from the Alexandria database: a geometry-optimized Tb2CeTm8 structure (PBE).

Cell: 9.278 9.278 7.835 Å, 104.67 104.67 31.00°
Atoms (fractional coordinates):
Tb 0.229 0.229 0.137
Tb 0.771 0.771 0.863
Ce 0.500 0.500 0.500
Tm 0.045 0.045 0.230
Tm 0.136 0.136 0.680
Tm 0.320 0.320 0.593
Tm 0.410 0.410 0.046
Tm 0.590 0.590 0.954
Tm 0.680 0.680 0.407
Tm 0.864 0.864 0.320
Tm 0.955 0.955 0.770

Properties
For the formation energy, the calculation gives 4 kJ/mol of atoms. The calculation puts the polymorph energy (0 for the lowest one) at 0 meV/atom.

[11]
Entry from the Alexandria database: a geometry-optimized ReP2Br structure (PBE).

Cell: 3.041 4.830 11.115 Å, 90.00 90.00 90.00°
Atoms (fractional coordinates):
Re 0.000 0.000 0.000
Re 0.500 0.500 0.000
P 0.000 0.500 0.171
P 0.000 0.500 0.829
P 0.500 0.000 0.171
P 0.500 0.000 0.829
Br 0.000 0.000 0.500
Br 0.500 0.500 0.500

Properties
The formation energy from raw total energies comes out at 1.7 eV per formula unit. The calculation puts the polymorph energy (0 for the lowest one) at 384 meV/atom.

[12]
Entry from the Alexandria database: a geometry-optimized Na2NpCu2O6 structure (PBE).

Cell: 5.335 5.335 5.641 Å, 90.00 90.00 120.00°
Atoms (fractional coordinates):
Na 0.333 0.667 0.000
Na 0.667 0.333 0.000
Np 0.000 0.000 0.500
Cu 0.333 0.667 0.500
Cu 0.667 0.333 0.500
O 0.000 0.328 0.704
O 0.000 0.672 0.296
O 0.328 0.000 0.704
O 0.328 0.328 0.296
O 0.672 0.000 0.296
O 0.672 0.672 0.704

Properties
The formation energy from raw total energies comes out at -18.0 eV per formula unit.

[13]
Entry from the Alexandria database: a geometry-optimized Ho2Cd3Pd2 structure (PBE).

Cell: 10.161 3.925 7.781 Å, 90.00 94.43 90.00°
Atoms (fractional coordinates):
Ho 0.122 0.000 0.352
Ho 0.378 0.500 0.648
Ho 0.622 0.500 0.352
Ho 0.878 0.000 0.648
Cd 0.000 0.500 0.000
Cd 0.193 0.000 0.869
Cd 0.307 0.500 0.131
Cd 0.500 0.000 0.000
Cd 0.693 0.500 0.869
Cd 0.807 0.000 0.131
Pd 0.094 0.500 0.637
Pd 0.406 0.000 0.363
Pd 0.594 0.000 0.637
Pd 0.906 0.500 0.363

Properties
For the formation energy, the calculation gives -55 kJ/mol of atoms. The calculation puts the polymorph energy (0 for the lowest one) at 26 meV/atom.

Number 1: VASP energy -71.69 eV for the cell shown, spin magnetization 0.00 μB per formula unit. Number 2: VASP energy -13.57 eV for the cell shown, spin magnetization 2.42 μB per formula unit. Number 3: VASP energy -78.93 eV for the cell shown, spin magnetization 0.00 μB per formula unit. Number 4: VASP energy -56.10 eV for the cell shown, spin magnetization 0.00 μB per formula unit. Number 5: VASP energy -20.19 eV for the cell shown, spin magnetization 0.09 μB per formula unit. Number 6: VASP energy -43.02 eV for the cell shown, spin magnetization 13.79 μB per formula unit. Number 7: VASP energy -89.75 eV for the cell shown, spin magnetization 0.00 μB per formula unit. Number 8: VASP energy -17.24 eV for the cell shown, spin magnetization 1.35 μB per formula unit. Number 9: VASP energy -49.42 eV for the cell shown, spin magnetization 0.00 μB per formula unit. Number 10: VASP energy -50.51 eV for the cell shown, spin magnetization 1.13 μB per formula unit. Number 11: VASP energy -46.57 eV for the cell shown, spin magnetization 0.00 μB per formula unit. Number 12: VASP energy -71.52 eV for the cell shown, spin magnetization 1.00 μB per formula unit. Number 13: VASP energy -52.58 eV for the cell shown, spin magnetization 0.00 μB per formula unit.